DFT (PBE-GGA) results for RhS2Br after structural relaxation.

Cell: 8.840 8.840 5.353 Å, 90.00 90.00 90.00°
Space group I4/mcm (No. 140)
Inequivalent atoms, fractional coordinates:
1 Rh 0.000 0.500 0.250 (multiplicity 4)
2 S 0.144 0.356 0.000 (multiplicity 8)
3 Br 0.000 0.000 0.250 (multiplicity 4)

Energy relative to the lowest polymorph listed for this composition (eV/atom): 0.3832
ΔE_f (raw) (eV per atom): 0.049